{"formula": "Tl2FePb", "functional": "PBE", "state": "optimized geometry", "cell": [[-0.1597, 1.2091, 3.0353], [-2.9735, -3.0787, 1.0698], [3.8141, -6.0292, 2.6023]], "species": ["Fe", "Pb", "Tl", "Tl"], "frac_coords": [[0.0000, 0.2608, 0.6025], [0.5000, 0.7416, 0.6400], [0.0000, 0.0688, 0.9906], [0.5000, 0.4288, 0.2669]], "final_energy_ev_per_cell": -15.4, "delta_e_f_mev_per_atom": 379, "sg": "No. 6", "e_above_lowest_polymorph_ev_per_atom": 0.007}